# 1
ReAu3: relaxed, PBE.

Cell lengths 5.041, 5.041, 2.749 Å; angles 90.00, 90.00, 90.00 degrees
Fractional positions:
Au: 0.000 0.000 0.000
Au: 0.500 0.000 0.500
Au: 0.500 0.500 0.000
Re: 0.000 0.500 0.500

ΔE_f in eV/atom: 0.518
Symmetry: No. 123

***

# 2
KTmPuCl6: relaxed, PBE.

Cell lengths 7.132, 7.132, 13.676 Å; angles 90.00, 90.00, 120.00 degrees
Fractional positions:
K: 0.000 0.000 0.000
K: 0.000 0.000 0.500
Tm: 0.667 0.333 0.250
Tm: 0.333 0.667 0.750
Pu: 0.333 0.667 0.250
Pu: 0.667 0.333 0.750
Cl: 0.647 0.624 0.139
Cl: 0.977 0.353 0.139
Cl: 0.353 0.977 0.639
Cl: 0.023 0.647 0.861
Cl: 0.376 0.353 0.361
Cl: 0.977 0.624 0.361
Cl: 0.624 0.977 0.861
Cl: 0.647 0.023 0.361
Cl: 0.023 0.376 0.639
Cl: 0.376 0.023 0.139
Cl: 0.624 0.647 0.639
Cl: 0.353 0.376 0.861

E_form (uncorrected) in eV per atom: -2.056
Symmetry: No. 163

***

# 3
NaCr3Hg: relaxed, PBE.

Cell lengths 5.259, 5.259, 5.259 Å; angles 90.00, 90.00, 90.00 degrees
Fractional positions:
Cr: 0.000 0.500 0.000
Cr: 0.000 0.000 0.500
Cr: 0.500 0.000 0.000
Hg: 0.000 0.000 0.000
Na: 0.500 0.500 0.500

ΔE_f in eV/atom: 1.290
Offset from the most stable computed form in meV per atom: 0
Symmetry: No. 221

***

# 4
La2Pm5Tm5: relaxed, PBE.

Cell lengths 5.062, 8.076, 10.815 Å; angles 72.79, 76.47, 71.74 degrees
Fractional positions:
La: 0.918 0.413 0.751
La: 0.082 0.587 0.249
Pm: 0.834 0.832 0.500
Pm: 0.247 0.753 0.753
Pm: 0.753 0.247 0.247
Pm: 0.166 0.168 0.500
Pm: 0.000 0.000 0.000
Tm: 0.500 0.500 0.500
Tm: 0.333 0.332 0.001
Tm: 0.416 0.919 0.249
Tm: 0.584 0.081 0.751
Tm: 0.667 0.668 0.999

ΔE_f in eV/atom: 0.026
Symmetry: No. 12